YOs2Rh after structural relaxation, computed with PBEsol.

Properties
Its energy of formation from the pure elements is 192 meV per atom. The calculation puts the raw total energy at -38.62 eV per formula unit. Its density of states at the Fermi level is 4.835 states/eV per cell.

Cell lengths 2.9392, 4.5470, 4.7967 Å; angles 90.00, 90.00, 90.00 degrees
With the nearest neighbours (Å) after each atom.
Fractional coordinates of all 4 atoms:
Y 0.0000 0.5000 0.5000  4 Rh 2.71, 4 Os 2.81, 2 Y 2.94
Os 0.5000 0.5000 0.0000  6 Os 2.71-2.94, 4 Y 2.81
Os 0.0000 0.0000 0.0000  6 Os 2.71-2.94, 4 Rh 2.81
Rh 0.5000 0.0000 0.5000  4 Y 2.71, 4 Os 2.81, 2 Rh 2.94



YOsRh after structural relaxation, computed with PBEsol.

Properties
Its energy of formation from the pure elements is 441 meV per atom. The calculation puts the raw total energy at -25.85 eV per formula unit. Its density of states at the Fermi level is 4.626 states/eV per cell.

Cell lengths 2.8746, 2.8746, 7.0565 Å; angles 90.00, 90.00, 120.00 degrees
With the nearest neighbours (Å) after each atom.
Fractional coordinates of all 3 atoms:
Rh 0.3333 0.6667 0.6854  3 Os 2.64, 6 Rh 2.87
Y 0.6667 0.3333 0.3377  6 Y 2.87, 3 Rh 2.96, 3 Os 3.04
Os 0.0000 0.0000 0.9769  3 Rh 2.64, 6 Os 2.87



Question: Which of these has the lowest density of states at the Fermi level?
Answer: YOsRh



Question: The lowest density of states at the Fermi level belongs to which entry?
Answer: YOsRh